Computed, not measured: BaNa4Ge2 after structural relaxation at the PBE level of DFT.

Calculated values
Fermi-level density of states = 2.97 states/eV/f.u.
Crystal system = orthorhombic
Total moment = 0.00 μB per formula unit
E_tot = -17.85 eV for the cell shown
Mass density = 2.8 g/cm³
V = 31.579 A^3/atom

a = 4.8291 Å, b = 4.8374 Å, c = 9.7669 Å
α = 104.34°, β = 90.00°, γ = 90.00°
Fractional coordinates of all 7 atoms:
Ge 0.5000 0.5636 0.1272
Ge 0.5000 0.4364 0.8728
Na 0.0000 0.6704 0.3409
Na 0.5000 0.1691 0.3383
Na 0.0000 0.3296 0.6591
Na 0.5000 0.8309 0.6617
Ba 0.0000 0.0000 0.0000



Computed, not measured: Ce2Ge3W after structural relaxation at the PBE level of DFT.

Calculated values
Fermi-level density of states = 8.99 states/eV/f.u.
Crystal system = orthorhombic
Total moment = 0.00 μB per formula unit
E_tot = -39.74 eV for the cell shown
Mass density = 8.2 g/cm³
V = 22.952 A^3/atom

a = 3.6255 Å, b = 4.8677 Å, c = 8.3727 Å
α = 106.90°, β = 102.50°, γ = 90.00°
Fractional coordinates of all 6 atoms:
Ge 0.0000 0.5000 0.0000
Ge 0.8354 0.8354 0.6709
Ge 0.1646 0.1646 0.3291
W 0.0000 0.0000 0.0000
Ce 0.3527 0.3527 0.7055
Ce 0.6473 0.6473 0.2945



Computed, not measured: LaZrSc2 after structural relaxation at the PBE level of DFT.

Calculated values
Fermi-level density of states = 4.63 states/eV/f.u.
Crystal system = orthorhombic
Total moment = 0.00 μB per formula unit
E_tot = -25.87 eV for the cell shown
Mass density = 5.0 g/cm³
V = 26.501 A^3/atom

a = 3.3936 Å, b = 4.5526 Å, c = 6.8613 Å
α = 90.00°, β = 90.00°, γ = 90.00°
Fractional coordinates of all 4 atoms:
La 0.5000 0.5000 0.7500
Zr 0.5000 0.5000 0.2500
Sc 0.0000 0.0000 0.4742
Sc 0.0000 0.0000 0.0258



Computed, not measured: Ca2TcTe after structural relaxation at the PBE level of DFT.

Calculated values
Fermi-level density of states = 2.90 states/eV/f.u.
Crystal system = tetragonal
Uncorrected formation energy = 52 meV per atom
Total moment = 2.45 μB per formula unit
Mass density = 5.0 g/cm³
V = 25.462 A^3/atom

a = 6.0668 Å, b = 6.0668 Å, c = 6.0668 Å
α = 137.20°, β = 137.20°, γ = 62.13°
Fractional coordinates of all 4 atoms:
Te 0.7500 0.2500 0.5000
Ca 0.0000 0.0000 0.0000
Ca 0.2500 0.7500 0.5000
Tc 0.5000 0.5000 0.0000